Record 1
# NaIn2TeS6 PBE optimized geometry
# Formation energy without anion corrections   -0.315 eV/atom
# M_tot   4.03 μB per cell
data_NaIn2TeS6
_chemical_formula_sum 'Na4 In8 Te4 S24'
_cell_length_a 12.839
_cell_length_b 11.888
_cell_length_c 7.648
_cell_angle_alpha 90.00
_cell_angle_beta 110.11
_cell_angle_gamma 90.00
_symmetry_space_group_name_H-M 'C 1 2/c 1'
_symmetry_Int_Tables_number 15
loop_
_symmetry_equiv_pos_as_xyz
'x,y,z'
'-x,-y,-z'
'-x,y,-z+1/2'
'x,-y,z+1/2'
'x+1/2,y+1/2,z'
'-x+1/2,-y+1/2,-z'
'-x+1/2,y+1/2,-z+1/2'
'x+1/2,-y+1/2,z+1/2'
loop_
_atom_site_label
_atom_site_fract_x
_atom_site_fract_y
_atom_site_fract_z
Na1 0.000 0.117 0.250
In1 0.190 0.403 0.131
Te1 0.000 0.215 0.750
S1 0.105 0.453 0.385
S2 0.111 0.083 0.648
S3 0.145 0.201 0.089

Record 2
# Na3InTe3S8 PBE optimized geometry
# Formation energy without anion corrections   -0.381 eV/atom
# M_tot   0.00 μB per cell
data_Na3InTe3S8
_chemical_formula_sum 'Na6 In2 Te6 S16'
_cell_length_a 14.536
_cell_length_b 7.595
_cell_length_c 8.169
_cell_angle_alpha 90.00
_cell_angle_beta 123.81
_cell_angle_gamma 90.00
_symmetry_space_group_name_H-M 'C 1 2/m 1'
_symmetry_Int_Tables_number 12
loop_
_symmetry_equiv_pos_as_xyz
'x,y,z'
'-x,-y,-z'
'-x,y,-z'
'x,-y,z'
'x+1/2,y+1/2,z'
'-x+1/2,-y+1/2,-z'
'-x+1/2,y+1/2,-z'
'x+1/2,-y+1/2,z'
loop_
_atom_site_label
_atom_site_fract_x
_atom_site_fract_y
_atom_site_fract_z
Na1 0.000 0.000 0.000
Na2 0.250 0.250 0.500
In1 0.000 0.000 0.500
Te1 0.000 0.500 0.500
Te2 0.250 0.250 0.000
S1 0.013 0.250 0.737
S2 0.229 0.000 0.201
S3 0.231 0.000 0.745

Record 3
# Na2InTeS PBE optimized geometry
# Energy above the most stable polymorph in this dataset   652 meV per atom
# Formation energy without anion corrections   0.013 eV/atom
# M_tot   0.00 μB per cell
data_Na2InTeS
_chemical_formula_sum 'Na2 In1 Te1 S1'
_cell_length_a 6.264
_cell_length_b 6.264
_cell_length_c 4.719
_cell_angle_alpha 90.00
_cell_angle_beta 90.00
_cell_angle_gamma 90.00
_symmetry_space_group_name_H-M 'P 4/m m m'
_symmetry_Int_Tables_number 123
_symmetry_space_group_name_Hall '-P 4 2'
loop_
_atom_site_label
_atom_site_fract_x
_atom_site_fract_y
_atom_site_fract_z
Na1 0.000 0.500 0.000
In1 0.000 0.000 0.000
Te1 0.500 0.500 0.500
S1 0.000 0.000 0.500

Record 4
# Na3TiIn3S8 PBE optimized geometry
# Formation energy without anion corrections   -0.915 eV/atom
# M_tot   0.00 μB per cell
data_Na3TiIn3S8
_chemical_formula_sum 'Na9 Ti3 In9 S24'
_cell_length_a 7.5470
_cell_length_b 7.5470
_cell_length_c 20.4346
_cell_angle_alpha 90.00
_cell_angle_beta 90.00
_cell_angle_gamma 120.00
_symmetry_space_group_name_H-M 'R -3 m'
_symmetry_Int_Tables_number 166
_symmetry_space_group_name_Hall '-R 3 2"'
loop_
_atom_site_label
_atom_site_fract_x
_atom_site_fract_y
_atom_site_fract_z
Na1 0.0000 0.5000 0.0000
Ti1 0.0000 0.0000 0.5000
In1 0.0000 0.5000 0.5000
S1 0.0000 0.0000 0.2382
S2 0.0211 0.5106 0.2365

Record 5
# Na2TlInS4 PBE optimized geometry
# Formation energy without anion corrections   -0.689 eV/atom
# M_tot   0.00 μB per cell
data_Na2TlInS4
_chemical_formula_sum 'Na2 Tl1 In1 S4'
_cell_length_a 6.774
_cell_length_b 3.896
_cell_length_c 7.090
_cell_angle_alpha 90.00
_cell_angle_beta 108.52
_cell_angle_gamma 90.00
_symmetry_space_group_name_H-M 'P 1 2/m 1'
_symmetry_Int_Tables_number 10
loop_
_symmetry_equiv_pos_as_xyz
'x,y,z'
'-x,-y,-z'
'-x,y,-z'
'x,-y,z'
loop_
_atom_site_label
_atom_site_fract_x
_atom_site_fract_y
_atom_site_fract_z
Na1 0.000 0.000 0.000
Na2 0.500 0.500 0.000
Tl1 0.000 0.500 0.500
In1 0.500 0.000 0.500
S1 0.249 0.000 0.724
S2 0.267 0.500 0.278

Record 6
# NaTlInS2 PBE optimized geometry
# Formation energy without anion corrections   0.160 eV/atom
# M_tot   0.94 μB per cell
data_NaTlInS2
_chemical_formula_sum 'Na1 Tl1 In1 S2'
_cell_length_a 5.190
_cell_length_b 5.190
_cell_length_c 5.343
_cell_angle_alpha 90.00
_cell_angle_beta 90.00
_cell_angle_gamma 90.00
_symmetry_space_group_name_H-M 'P 4/m m m'
_symmetry_Int_Tables_number 123
_symmetry_space_group_name_Hall '-P 4 2'
loop_
_atom_site_label
_atom_site_fract_x
_atom_site_fract_y
_atom_site_fract_z
Na1 0.000 0.000 0.000
Tl1 0.500 0.500 0.500
In1 0.000 0.000 0.500
S1 0.000 0.500 0.000